CaHgPS2: optimized geometry, PBE.

Computed properties:
- ΔE to the lowest computed polymorph: 0.339 eV per atom
- Spin magnetization: 2.74 Bohr magnetons per cell
- Formation energy without anion corrections: 227 kJ/mol of formula units
- Uncorrected energy: -13.6 eV for the cell shown

abc: 5.243 5.243 5.595
angles: 90.00 90.00 90.00
Fractional positions:
S: 0.000 0.500 0.000
S: 0.500 0.000 0.000
P: 0.000 0.000 0.500
Ca: 0.000 0.000 0.000
Hg: 0.500 0.500 0.500